Entry 1:
Crystalline LuHf2Ni at its relaxed geometry, computed with GGA-PBE.

Geometry as extended XYZ:
```
4
Lattice="3.243 0.000 0.000 0.000 3.243 0.000 0.000 0.000 7.762" Properties=species:S:1:pos:R:3 pbc="T T T"
Lu 0.000 0.000 0.000
Hf 1.621 1.621 2.334
Hf 1.621 1.621 5.428
Ni 0.000 0.000 3.881
```

Computed properties:
* E_form: -0.087 eV/atom
* magnetization: 0.02 μB/f.u.
* uncorrected energy: -7.6394 eV/atom
* density of states at the Fermi level: 6.3 states/eV/cell
* calculated density: 12.0 g cm⁻³
* symmetry: P4/mmm (123)

Entry 2:
Crystalline LuHfNi2 at its relaxed geometry, computed with GGA-PBE.

Geometry as extended XYZ:
```
4
Lattice="0.000 3.235 3.235 3.235 0.000 3.235 3.235 3.235 0.000" Properties=species:S:1:pos:R:3 pbc="T T T"
Lu 0.000 0.000 0.000
Hf 3.235 3.235 3.235
Ni 1.618 1.618 1.618
Ni 4.853 4.853 4.853
```

Computed properties:
* E_form: -0.429 eV/atom
* magnetization: 0.00 μB/f.u.
* uncorrected energy: -6.9380 eV/atom
* density of states at the Fermi level: 3.2 states/eV/cell
* calculated density: 11.5 g cm⁻³
* polymorph energy (0 for the lowest one): 45 meV/atom
* symmetry: Fm-3m (225)

Entry 3:
Crystalline LuHfNi at its relaxed geometry, computed with GGA-PBE.

Geometry as extended XYZ:
```
3
Lattice="-1.630 1.630 5.641 1.630 -1.630 5.641 1.630 1.630 -5.641" Properties=species:S:1:pos:R:3 pbc="T T T"
Lu 0.000 0.000 0.000
Hf 0.000 0.000 3.234
Ni 0.000 0.000 7.503
```

Computed properties:
* E_form: -0.221 eV/atom
* magnetization: 0.79 μB/f.u.
* uncorrected energy: -6.9730 eV/atom
* density of states at the Fermi level: 3.3 states/eV/cell
* calculated density: 11.4 g cm⁻³
* symmetry: I4mm (107)

Entry 4:
Crystalline LuHfNi4 at its relaxed geometry, computed with GGA-PBE.

Geometry as extended XYZ:
```
6
Lattice="0.000 3.497 3.497 3.497 0.000 3.497 3.497 3.497 0.000" Properties=species:S:1:pos:R:3 pbc="T T T"
Lu 0.000 0.000 0.000
Hf 5.246 5.246 5.246
Ni 2.625 2.625 2.625
Ni 4.370 4.370 2.625
Ni 4.370 2.625 4.370
Ni 2.625 4.370 4.370
```

Computed properties:
* E_form: -0.482 eV/atom
* magnetization: 0.00 μB/f.u.
* uncorrected energy: -6.7487 eV/atom
* density of states at the Fermi level: 3.7 states/eV/cell
* calculated density: 11.4 g cm⁻³
* symmetry: F-43m (216)

Entry 5:
Crystalline LuHfNiOs at its relaxed geometry, computed with GGA-PBE.

Geometry as extended XYZ:
```
4
Lattice="0.000 3.272 3.272 3.272 0.000 3.272 3.272 3.272 0.000" Properties=species:S:1:pos:R:3 pbc="T T T"
Lu 0.000 0.000 0.000
Hf 3.272 3.272 3.272
Ni 4.908 4.908 4.908
Os 1.636 1.636 1.636
```

Computed properties:
* E_form: -0.500 eV/atom
* magnetization: 0.00 μB/f.u.
* uncorrected energy: -8.3709 eV/atom
* density of states at the Fermi level: 1.6 states/eV/cell
* calculated density: 14.3 g cm⁻³
* symmetry: F-43m (216)

Entry 6:
Crystalline LuHfNiPt at its relaxed geometry, computed with GGA-PBE.

Geometry as extended XYZ:
```
4
Lattice="0.000 3.314 3.314 3.314 0.000 3.314 3.314 3.314 0.000" Properties=species:S:1:pos:R:3 pbc="T T T"
Lu 0.000 0.000 0.000
Hf 3.314 3.314 3.314
Ni 4.971 4.971 4.971
Pt 1.657 1.657 1.657
```

Computed properties:
* E_form: -0.777 eV/atom
* magnetization: 0.00 μB/f.u.
* uncorrected energy: -7.3511 eV/atom
* density of states at the Fermi level: 3.3 states/eV/cell
* calculated density: 13.9 g cm⁻³
* symmetry: F-43m (216)

Entry 7:
Crystalline LuHfNiRu at its relaxed geometry, computed with GGA-PBE.

Geometry as extended XYZ:
```
4
Lattice="0.000 3.267 3.267 3.267 0.000 3.267 3.267 3.267 0.000" Properties=species:S:1:pos:R:3 pbc="T T T"
Lu 0.000 0.000 0.000
Hf 3.267 3.267 3.267
Ni 4.900 4.900 4.900
Ru 1.633 1.633 1.633
```

Computed properties:
* E_form: -0.541 eV/atom
* magnetization: 0.00 μB/f.u.
* uncorrected energy: -7.9243 eV/atom
* density of states at the Fermi level: 1.9 states/eV/cell
* calculated density: 12.2 g cm⁻³
* symmetry: F-43m (216)

Entry 8:
Crystalline LuHfZnNi at its relaxed geometry, computed with GGA-PBE.

Geometry as extended XYZ:
```
4
Lattice="0.000 3.320 3.320 3.320 0.000 3.320 3.320 3.320 0.000" Properties=species:S:1:pos:R:3 pbc="T T T"
Lu 0.000 0.000 0.000
Hf 3.320 3.320 3.320
Zn 4.979 4.979 4.979
Ni 1.660 1.660 1.660
```

Computed properties:
* E_form: -0.279 eV/atom
* magnetization: 0.00 μB/f.u.
* uncorrected energy: -5.6612 eV/atom
* density of states at the Fermi level: 4.2 states/eV/cell
* calculated density: 10.8 g cm⁻³
* symmetry: F-43m (216)

Entry 9:
Crystalline Lu4Hf3O12 at its relaxed geometry, computed with GGA-PBE.

Geometry as extended XYZ:
```
38
Lattice="6.270 0.000 0.000 -1.029 6.271 0.000 -2.040 -2.418 12.208" Properties=species:S:1:pos:R:3 pbc="T T T"
Lu -0.269 -0.130 4.929
Lu -0.611 0.798 8.331
Lu 0.489 2.003 2.221
Lu -0.390 2.035 11.563
Lu 3.591 1.818 0.645
Lu 2.711 1.851 9.987
Lu 3.811 3.055 3.877
Lu 3.469 3.983 7.279
Hf -1.323 -1.290 11.067
Hf 0.610 3.142 5.452
Hf 0.541 4.425 9.126
Hf 2.659 -0.571 3.082
Hf 2.590 0.711 6.756
Hf 4.523 5.143 1.141
O -2.382 2.879 11.748
O -1.697 0.576 10.276
O -1.233 4.022 5.636
O -0.578 1.864 4.175
O -0.393 -1.367 8.700
O 0.688 -0.245 2.478
O 1.485 2.495 0.389
O 0.512 1.364 6.544
O 1.328 3.648 3.547
O 0.369 2.387 9.511
O 0.743 -1.674 11.068
O 1.966 -0.302 5.018
O 1.234 4.156 7.190
O 2.457 5.527 1.140
O 2.831 1.466 2.697
O 1.872 0.205 8.661
O 2.689 2.489 5.664
O 1.715 1.359 11.819
O 2.512 4.099 9.730
O 3.593 5.220 3.508
O 3.778 1.989 8.033
O 4.434 -0.169 6.572
O 4.898 3.277 1.932
O 5.582 0.975 0.460
```

Computed properties:
* magnetization: 0.00 μB/f.u.
* uncorrected energy: -9.3060 eV/atom
* density of states at the Fermi level: 0.0 states/eV/cell
* formation energy (no corrections): -3.65 eV/atom
* calculated density: 9.9 g cm⁻³
* symmetry: P-1 (2)

Entry 10:
Crystalline LuHfOs4 at its relaxed geometry, computed with GGA-PBE.

Geometry as extended XYZ:
```
6
Lattice="0.000 3.722 3.722 3.722 0.000 3.722 3.722 3.722 0.000" Properties=species:S:1:pos:R:3 pbc="T T T"
Lu 0.000 0.000 0.000
Hf 5.582 5.582 5.582
Os 2.792 2.792 2.792
Os 4.652 4.652 2.792
Os 4.652 2.792 4.652
Os 2.792 4.652 4.652
```

Computed properties:
* E_form: -0.329 eV/atom
* magnetization: 0.06 μB/f.u.
* uncorrected energy: -10.2274 eV/atom
* density of states at the Fermi level: 5.1 states/eV/cell
* calculated density: 17.9 g cm⁻³
* symmetry: F-43m (216)

Entry 11:
Crystalline LuHfOs2 at its relaxed geometry, computed with GGA-PBE.

Geometry as extended XYZ:
```
4
Lattice="4.649 0.000 0.000 0.000 4.649 0.000 0.000 0.000 3.291" Properties=species:S:1:pos:R:3 pbc="T T T"
Lu 0.000 0.000 0.000
Hf 2.325 2.325 0.000
Os 0.000 2.325 1.646
Os 2.325 0.000 1.646
```

Computed properties:
* E_form: -0.459 eV/atom
* magnetization: 0.00 μB/f.u.
* uncorrected energy: -9.6927 eV/atom
* density of states at the Fermi level: 3.3 states/eV/cell
* calculated density: 17.1 g cm⁻³
* symmetry: P4/mmm (123)

Entry 12:
Crystalline LuHfOs2 at its relaxed geometry, computed with GGA-PBE.

Geometry as extended XYZ:
```
4
Lattice="3.282 0.000 0.000 0.000 3.282 0.000 0.000 0.000 6.642" Properties=species:S:1:pos:R:3 pbc="T T T"
Lu 0.000 0.000 0.000
Hf 0.000 0.000 3.321
Os 1.641 1.641 1.752
Os 1.641 1.641 4.890
```

Computed properties:
* E_form: -0.489 eV/atom
* magnetization: 0.00 μB/f.u.
* uncorrected energy: -9.7229 eV/atom
* density of states at the Fermi level: 3.5 states/eV/cell
* calculated density: 17.0 g cm⁻³
* symmetry: P4/mmm (123)

- Among the records above, which one has the highest magnetization?
  LuHfNi